# Ho4AlBiC

A relaxed Ho4AlBiC crystal (GGA-PBE, the Alexandria database).

Summary:
V, A^3/atom: 25.8
Calculated formation energy, eV/f.u.: -3.48

POSCAR file:
```
Ho4AlBiC
1.0
6.762 0.000 0.000
0.000 6.763 0.000
-3.381 0.000 7.895
C Al Ho Bi
2 2 8 2
direct
0.249 0.750 0.499 C
0.751 0.250 0.501 C
0.115 0.250 0.230 Al
0.885 0.750 0.770 Al
0.088 0.750 0.175 Ho
0.500 0.500 0.500 Ho
0.500 0.000 0.500 Ho
0.912 0.250 0.825 Ho
0.000 0.500 0.500 Ho
0.404 0.750 0.808 Ho
0.000 0.000 0.500 Ho
0.596 0.250 0.192 Ho
0.395 0.250 0.789 Bi
0.605 0.750 0.211 Bi
```

---

# Al2BiCN

A relaxed Al2BiCN crystal (GGA-PBE, the Alexandria database).

Summary:
V, A^3/atom: 17.1
Energy relative to the elements, uncorrected, eV per atom: 0.944

POSCAR file:
```
Al2BiCN
1.0
-2.988 -1.109 1.848
-1.152 -4.296 -4.440
2.047 -2.450 1.839
Bi Al N C
1 2 1 1
direct
0.500 0.500 0.500 Bi
0.000 0.000 0.500 Al
0.500 0.000 0.000 Al
0.000 0.000 0.000 N
0.000 0.500 0.000 C
```

---

# AlBiCO5

A relaxed AlBiCO5 crystal (GGA-PBE, the Alexandria database).

Summary:
V, A^3/atom: 10.4
Energy relative to the elements, uncorrected, eV per atom: -1.662

POSCAR file:
```
AlBiCO5
1.0
5.341 0.054 0.083
-1.507 5.124 0.083
-1.496 -2.021 5.983
C O Bi Al
2 10 2 2
direct
0.685 0.315 0.250 C
0.315 0.685 0.750 C
0.688 0.118 0.372 O
0.118 0.688 0.872 O
0.249 0.433 0.592 O
0.072 0.928 0.250 O
0.433 0.249 0.092 O
0.567 0.751 0.908 O
0.312 0.882 0.628 O
0.751 0.567 0.408 O
0.928 0.072 0.750 O
0.882 0.312 0.128 O
0.663 0.337 0.750 Bi
0.337 0.663 0.250 Bi
0.000 0.000 0.000 Al
0.000 0.000 0.500 Al
```

---

# AlSnBiC2

A relaxed AlSnBiC2 crystal (GGA-PBE, the Alexandria database).

Summary:
V, A^3/atom: 25.2
Calculated formation energy, eV/f.u.: 12.20

POSCAR file:
```
AlSnBiC2
1.0
-0.325 0.251 4.504
-2.903 -5.439 0.093
3.977 -2.116 0.405
Al C Bi Sn
1 2 1 1
direct
0.500 0.500 0.500 Al
0.500 0.000 0.000 C
0.000 0.000 0.500 C
0.000 0.000 0.000 Bi
0.000 0.500 0.000 Sn
```

---

# TaAlBi2C

A relaxed TaAlBi2C crystal (GGA-PBE, the Alexandria database).

Summary:
V, A^3/atom: 30.4
Calculated formation energy, eV/f.u.: 9.05

POSCAR file:
```
TaAlBi2C
1.0
5.428 0.000 0.000
0.000 5.153 0.000
0.000 0.000 5.428
Ta Al C Bi
1 1 1 2
direct
0.000 0.000 0.000 Ta
0.000 0.500 0.000 Al
0.500 0.500 0.500 C
0.000 0.000 0.500 Bi
0.500 0.000 0.000 Bi
```

---

# AlTcBi2C

A relaxed AlTcBi2C crystal (GGA-PBE, the Alexandria database).

Summary:
V, A^3/atom: 21.1
Calculated formation energy, eV/f.u.: 4.39

POSCAR file:
```
AlTcBi2C
1.0
-2.065 4.484 1.495
0.242 -1.151 3.786
4.717 2.063 0.326
C Tc Al Bi
1 1 1 2
direct
0.000 0.000 0.000 C
0.000 0.500 0.000 Tc
0.500 0.500 0.500 Al
0.000 0.000 0.500 Bi
0.500 0.000 0.000 Bi
```

---

# YAlBiC2

A relaxed YAlBiC2 crystal (GGA-PBE, the Alexandria database).

Summary:
V, A^3/atom: 19.6
Calculated formation energy, eV/f.u.: 7.09

POSCAR file:
```
YAlBiC2
1.0
-3.913 -0.990 1.041
1.747 -1.475 5.168
-0.634 3.900 1.327
C Y Bi Al
2 1 1 1
direct
0.500 0.000 0.000 C
0.000 0.000 0.500 C
0.000 0.500 0.000 Y
0.500 0.500 0.500 Bi
0.000 0.000 0.000 Al
```

---

# Ca2AlBi2

A relaxed Ca2AlBi2 crystal (GGA-PBE, the Alexandria database).

Summary:
V, A^3/atom: 31.5
Calculated formation energy, eV/f.u.: -1.50
Energy above the most stable polymorph in this dataset, eV/atom: 0.121

POSCAR file:
```
Ca2AlBi2
1.0
-3.189 -8.753 0.735
8.025 -3.221 -3.541
1.379 -0.223 3.328
Ca Al Bi
4 2 4
direct
0.636 0.136 0.000 Ca
0.864 0.636 0.000 Ca
0.136 0.364 0.000 Ca
0.364 0.864 0.000 Ca
0.000 0.000 0.000 Al
0.500 0.500 0.000 Al
0.166 0.666 0.500 Bi
0.666 0.834 0.500 Bi
0.834 0.334 0.500 Bi
0.334 0.166 0.500 Bi
```

---

# Ca5Al2Bi6

A relaxed Ca5Al2Bi6 crystal (GGA-PBE, the Alexandria database).

Summary:
V, A^3/atom: 31.4
Calculated formation energy, eV/f.u.: -7.82
Energy above the most stable polymorph in this dataset, eV/atom: 0.000

POSCAR file:
```
Ca5Al2Bi6
1.0
-1.742 -2.991 3.029
6.263 -4.192 -0.538
9.686 12.206 17.627
Al Bi Ca
4 12 10
direct
0.500 0.318 0.879 Al
0.500 0.682 0.121 Al
0.500 0.182 0.379 Al
0.500 0.818 0.621 Al
0.500 0.791 0.002 Bi
0.500 0.291 0.498 Bi
0.500 0.007 0.812 Bi
0.500 0.209 0.998 Bi
0.500 0.709 0.502 Bi
0.500 0.507 0.688 Bi
0.000 0.537 0.864 Bi
0.000 0.963 0.364 Bi
0.500 0.493 0.312 Bi
0.500 0.993 0.188 Bi
0.000 0.463 0.136 Bi
0.000 0.037 0.636 Bi
0.000 0.500 0.000 Ca
0.000 0.469 0.588 Ca
0.000 0.269 0.756 Ca
0.000 0.000 0.500 Ca
0.000 0.731 0.244 Ca
0.000 0.231 0.256 Ca
0.000 0.969 0.912 Ca
0.000 0.531 0.412 Ca
0.000 0.031 0.088 Ca
0.000 0.769 0.744 Ca
```

---

# CaAl2Bi2

A relaxed CaAl2Bi2 crystal (GGA-PBE, the Alexandria database).

Summary:
V, A^3/atom: 27.6
Calculated formation energy, eV/f.u.: -0.02
Energy above the most stable polymorph in this dataset, eV/atom: 0.121

POSCAR file:
```
CaAl2Bi2
1.0
8.342 0.000 0.000
0.000 8.342 0.000
0.000 0.000 3.968
Bi Al Ca
4 4 2
direct
0.347 0.847 0.000 Bi
0.653 0.153 0.000 Bi
0.847 0.653 0.000 Bi
0.153 0.347 0.000 Bi
0.864 0.364 0.500 Al
0.364 0.136 0.500 Al
0.636 0.864 0.500 Al
0.136 0.636 0.500 Al
0.000 0.000 0.000 Ca
0.500 0.500 0.000 Ca
```

---

# CaAl2Bi2

A relaxed CaAl2Bi2 crystal (GGA-PBE, the Alexandria database).

Summary:
V, A^3/atom: 28.5
Calculated formation energy, eV/f.u.: -0.63
Energy above the most stable polymorph in this dataset, eV/atom: 0.000

POSCAR file:
```
CaAl2Bi2
1.0
5.493 0.000 0.000
0.000 5.493 0.000
2.746 2.746 4.718
Al Bi Ca
2 2 1
direct
0.364 0.364 0.272 Al
0.636 0.636 0.728 Al
0.750 0.250 0.500 Bi
0.250 0.750 0.500 Bi
0.000 0.000 0.000 Ca
```

---

# CaAl2Bi2

A relaxed CaAl2Bi2 crystal (GGA-PBE, the Alexandria database).

Summary:
V, A^3/atom: 26.6
Calculated formation energy, eV/f.u.: -0.51
Energy above the most stable polymorph in this dataset, eV/atom: 0.023

POSCAR file:
```
CaAl2Bi2
1.0
-1.574 -5.557 5.796
6.856 -4.004 -1.978
2.032 2.176 2.638
Ca Al Bi
2 4 4
direct
0.500 0.500 0.000 Ca
0.000 0.000 0.000 Ca
0.117 0.383 0.000 Al
0.383 0.883 0.000 Al
0.617 0.117 0.000 Al
0.883 0.617 0.000 Al
0.175 0.675 0.500 Bi
0.825 0.325 0.500 Bi
0.675 0.825 0.500 Bi
0.325 0.175 0.500 Bi
```

---

# CaAlBi2

A relaxed CaAlBi2 crystal (GGA-PBE, the Alexandria database).

Summary:
V, A^3/atom: 30.9
Calculated formation energy, eV/f.u.: -0.91

POSCAR file:
```
CaAlBi2
1.0
8.144 0.000 0.000
0.000 8.144 0.000
4.072 4.072 3.726
Bi Al Ca
4 2 2
direct
0.580 0.125 0.250 Bi
0.170 0.625 0.250 Bi
0.875 0.830 0.750 Bi
0.375 0.420 0.750 Bi
0.250 0.750 0.500 Al
0.500 0.500 0.000 Al
0.000 0.000 0.000 Ca
0.750 0.250 0.500 Ca
```

---

# Ca5AlBi4

A relaxed Ca5AlBi4 crystal (GGA-PBE, the Alexandria database).

Summary:
V, A^3/atom: 34.7
Calculated formation energy, eV/f.u.: -5.64

POSCAR file:
```
Ca5AlBi4
1.0
-0.135 -0.867 5.280
0.551 -7.583 -1.231
7.906 8.776 -1.071
Ca Bi Al
5 4 1
direct
0.837 0.157 0.674 Ca
0.500 0.500 0.000 Ca
0.846 0.700 0.692 Ca
0.163 0.843 0.326 Ca
0.154 0.300 0.308 Ca
0.010 0.275 0.021 Bi
0.687 0.126 0.375 Bi
0.990 0.725 0.979 Bi
0.313 0.874 0.625 Bi
0.500 0.000 0.000 Al
```

---

# CaAl4Bi

A relaxed CaAl4Bi crystal (GGA-PBE, the Alexandria database).

Summary:
V, A^3/atom: 21.8
Calculated formation energy, eV/f.u.: -0.42

POSCAR file:
```
CaAl4Bi
1.0
5.696 0.000 0.000
2.848 4.932 0.000
2.848 1.644 4.650
Bi Al Ca
1 4 1
direct
0.250 0.250 0.250 Bi
0.625 0.124 0.625 Al
0.625 0.625 0.124 Al
0.625 0.625 0.625 Al
0.124 0.625 0.625 Al
0.000 0.000 0.000 Ca
```

---

# CaAl2Bi2

A relaxed CaAl2Bi2 crystal (GGA-PBE, the Alexandria database).

Summary:
V, A^3/atom: 27.6
Calculated formation energy, eV/f.u.: -0.39
Energy above the most stable polymorph in this dataset, eV/atom: 0.048

POSCAR file:
```
CaAl2Bi2
1.0
-2.714 2.036 2.346
1.377 -2.004 3.332
4.798 5.858 4.094
Ca Bi Al
1 2 2
direct
0.000 0.000 0.000 Ca
0.396 0.396 0.207 Bi
0.604 0.604 0.793 Bi
0.750 0.250 0.500 Al
0.250 0.750 0.500 Al
```

---

# CaAlBi2

A relaxed CaAlBi2 crystal (GGA-PBE, the Alexandria database).

Summary:
V, A^3/atom: 33.2
Calculated formation energy, eV/f.u.: 0.41

POSCAR file:
```
CaAlBi2
1.0
-1.529 3.258 -1.414
-0.222 0.531 -3.824
-9.852 -3.117 -1.816
Ca Al Bi
1 1 2
direct
0.000 0.000 0.000 Ca
0.500 0.500 0.500 Al
0.895 0.895 0.316 Bi
0.105 0.105 0.684 Bi
```

---

# Ca2AlBi2

A relaxed Ca2AlBi2 crystal (GGA-PBE, the Alexandria database).

Summary:
V, A^3/atom: 30.4
Calculated formation energy, eV/f.u.: -2.11
Energy above the most stable polymorph in this dataset, eV/atom: 0.000

POSCAR file:
```
Ca2AlBi2
1.0
-2.440 1.601 7.570
-7.737 -0.387 -2.411
-0.065 -4.520 0.935
Ca Al Bi
4 2 4
direct
0.334 0.166 0.500 Ca
0.166 0.666 0.500 Ca
0.666 0.834 0.500 Ca
0.834 0.334 0.500 Ca
0.500 0.500 0.000 Al
0.000 0.000 0.000 Al
0.359 0.859 0.000 Bi
0.641 0.141 0.000 Bi
0.141 0.359 0.000 Bi
0.859 0.641 0.000 Bi
```

---

# Ca5Al2Bi6

A relaxed Ca5Al2Bi6 crystal (GGA-PBE, the Alexandria database).

Summary:
V, A^3/atom: 31.7
Calculated formation energy, eV/f.u.: -7.78
Energy above the most stable polymorph in this dataset, eV/atom: 0.003

POSCAR file:
```
Ca5Al2Bi6
1.0
-4.062 0.991 1.987
2.205 -8.399 8.697
6.440 10.106 8.127
Ca Bi Al
10 12 4
direct
0.500 0.168 0.978 Ca
0.500 0.091 0.255 Ca
0.500 0.409 0.755 Ca
0.500 0.332 0.478 Ca
0.500 0.668 0.522 Ca
0.500 0.909 0.745 Ca
0.500 0.000 0.500 Ca
0.500 0.832 0.022 Ca
0.500 0.591 0.245 Ca
0.500 0.500 0.000 Ca
0.000 0.967 0.897 Bi
0.500 0.164 0.674 Bi
0.500 0.336 0.174 Bi
0.000 0.033 0.103 Bi
0.000 0.655 0.091 Bi
0.000 0.467 0.603 Bi
0.500 0.664 0.826 Bi
0.000 0.345 0.909 Bi
0.000 0.155 0.409 Bi
0.500 0.836 0.326 Bi
0.000 0.845 0.591 Bi
0.000 0.533 0.397 Bi
0.000 0.667 0.712 Al
0.000 0.167 0.788 Al
0.000 0.333 0.288 Al
0.000 0.833 0.212 Al
```

---

# CaAlBi2

A relaxed CaAlBi2 crystal (GGA-PBE, the Alexandria database).

Summary:
V, A^3/atom: 28.1
Calculated formation energy, eV/f.u.: -1.06

POSCAR file:
```
CaAlBi2
1.0
-0.606 -2.879 3.702
-1.770 -3.444 -2.968
4.503 -1.766 -0.637
Bi Ca Al
2 1 1
direct
0.000 0.500 0.000 Bi
0.000 0.000 0.500 Bi
0.500 0.000 0.000 Ca
0.500 0.500 0.500 Al
```